{"formula": "Ba2CeNbO6", "functional": "GGA-PBEsol", "state": "relaxed", "energy_ev_per_atom": -8.286, "rho_g_cm3": 6.38, "m_tot_mub_per_fu": 1.035, "formation_energy_uncorrected_ev_per_atom": -2.9649, "lattice": [[6.057, 0.000, 0.000], [3.028, 5.245, 0.000], [3.028, 1.748, 4.945]], "species": ["O", "O", "O", "O", "O", "O", "Ce", "Ba", "Ba", "Nb"], "frac_coords": [[0.737, 0.737, 0.263], [0.263, 0.737, 0.263], [0.263, 0.263, 0.737], [0.737, 0.263, 0.263], [0.263, 0.737, 0.737], [0.737, 0.263, 0.737], [0.000, 0.000, 0.000], [0.750, 0.750, 0.750], [0.250, 0.250, 0.250], [0.500, 0.500, 0.500]]}

{"formula": "Ba2I2O", "functional": "GGA-PBEsol", "state": "relaxed", "energy_ev_per_atom": -4.793, "rho_g_cm3": 5.13, "m_tot_mub_per_fu": 0.000, "formation_energy_uncorrected_ev_per_atom": -2.1766, "lattice": [[-0.274, -6.652, -1.357], [3.705, 1.151, -6.392], [4.306, 1.825, 7.198]], "species": ["Ba", "Ba", "Ba", "Ba", "I", "I", "I", "I", "O", "O"], "frac_coords": [[0.406, 0.229, 0.811], [0.094, 0.418, 0.189], [0.906, 0.582, 0.811], [0.594, 0.771, 0.189], [0.351, 0.694, 0.701], [0.851, 0.008, 0.701], [0.649, 0.306, 0.299], [0.149, 0.992, 0.299], [0.250, 0.500, 0.000], [0.750, 0.500, 0.000]]}

{"formula": "ZrInRh2", "functional": "GGA-PBEsol", "state": "relaxed", "energy_ev_per_atom": -7.779, "rho_g_cm3": 10.23, "m_tot_mub_per_fu": 0.000, "delta_e_f_ev_per_atom": -0.69, "lattice": [[-1.901, 0.227, -2.705], [0.623, -3.176, -0.704], [-4.855, -1.677, 3.271]], "species": ["Rh", "Rh", "In", "Zr"], "frac_coords": [[0.000, 0.000, 0.754], [0.000, 0.000, 0.246], [0.500, 0.500, 0.500], [0.500, 0.500, 0.000]]}

{"formula": "Co3SI", "functional": "GGA-PBEsol", "state": "relaxed", "energy_ev_per_atom": -4.298, "rho_g_cm3": 5.58, "m_tot_mub_per_fu": 5.663, "formation_energy_uncorrected_ev_per_atom": 1.5743, "lattice": [[-3.154, 2.512, 2.295], [1.215, -2.092, 3.959], [3.179, 3.292, 0.765]], "species": ["I", "S", "Co", "Co", "Co"], "frac_coords": [[0.000, 0.000, 0.000], [0.500, 0.500, 0.500], [0.000, 0.500, 0.000], [0.500, 0.000, 0.000], [0.000, 0.000, 0.500]]}

{"formula": "Nd4CdIr", "functional": "GGA-PBEsol", "state": "relaxed", "energy_ev_per_atom": -5.711, "rho_g_cm3": 8.86, "m_tot_mub_per_fu": 0.000, "delta_e_f_ev_per_atom": -0.43, "lattice": [[-8.386, -4.681, 1.824], [-4.968, -4.158, -7.320], [-0.415, -9.741, -0.713]], "species": ["Nd", "Nd", "Nd", "Nd", "Nd", "Nd", "Nd", "Nd", "Nd", "Nd", "Nd", "Nd", "Nd", "Nd", "Nd", "Nd", "Cd", "Cd", "Cd", "Cd", "Ir", "Ir", "Ir", "Ir"], "frac_coords": [[0.059, 0.441, 0.059], [0.441, 0.441, 0.059], [0.059, 0.441, 0.441], [0.310, 0.310, 0.690], [0.901, 0.901, 0.297], [0.690, 0.690, 0.310], [0.690, 0.310, 0.310], [0.310, 0.690, 0.310], [0.690, 0.310, 0.690], [0.441, 0.059, 0.059], [0.901, 0.297, 0.901], [0.310, 0.690, 0.690], [0.441, 0.059, 0.441], [0.297, 0.901, 0.901], [0.901, 0.901, 0.901], [0.059, 0.059, 0.441], [0.671, 0.671, 0.988], [0.671, 0.988, 0.671], [0.988, 0.671, 0.671], [0.671, 0.671, 0.671], [0.676, 0.108, 0.108], [0.108, 0.108, 0.676], [0.108, 0.676, 0.108], [0.108, 0.108, 0.108]]}

{"formula": "TcPBr2", "functional": "GGA-PBEsol", "state": "relaxed", "energy_ev_per_atom": -5.245, "de_polymorph_ev_per_fu": 0.000, "rho_g_cm3": 5.49, "m_tot_mub_per_fu": 0.000, "formation_energy_uncorrected_ev_per_atom": -0.0455, "lattice": [[3.607, 0.000, 0.000], [0.000, 4.939, -0.105], [0.000, -2.099, 4.948]], "species": ["Br", "Br", "P", "Tc"], "frac_coords": [[0.500, 0.733, 0.454], [0.000, 0.093, 0.156], [0.000, 0.389, 0.822], [0.500, 0.285, 0.568]]}